Here is crystalline Tb2HfZn6 at its relaxed geometry from the Alexandria database. Energies are from PBE.

Output
DOS at the Fermi energy ... 0.571 states/eV/atom
V ... 19.1 Å³ per atom
Formation energy from the elements ... -301 meV/atom

Cell: 7.7054 7.7054 3.3349 Å, 90.00 90.00 120.00°
With the nearest neighbours (Å) after each atom.
Fractional coordinates of all 9 atoms:
Tb 0.3333 0.6667 0.0000  12 Zn 3.09, 2 Tb 3.33
Tb 0.6667 0.3333 0.0000  12 Zn 3.09, 2 Tb 3.33
Hf 0.0000 0.0000 0.0000  12 Zn 3.01, 2 Hf 3.33
Zn 0.0000 0.3258 0.5000  3 Zn 2.51-2.68
Zn 0.0000 0.6742 0.5000  3 Zn 2.51-2.68
Zn 0.3258 0.0000 0.5000  3 Zn 2.51-2.68
Zn 0.3258 0.3258 0.5000  3 Zn 2.51-2.68
Zn 0.6742 0.0000 0.5000  3 Zn 2.51-2.68
Zn 0.6742 0.6742 0.5000  3 Zn 2.51-2.68